# 1
The following is a DFT calculation (PBE) of a geometry-optimized SmYMgRh structure.

**SG**: F-43m (216)

Unit cell a=5.114 b=5.114 c=5.114 alpha=60.00 beta=60.00 gamma=60.00
Sites, in units of the cell vectors:
Sm (0.000, 0.000, 0.000)
Y (0.500, 0.500, 0.500)
Mg (0.750, 0.750, 0.750)
Rh (0.250, 0.250, 0.250)


# 2
The following is a DFT calculation (PBE) of a geometry-optimized In2SbI structure.

**SG**: I-42d (122)
**Energy above the lowest structure with this stoichiometry**: 156 meV/atom
**Uncorrected formation energy**: 0.009 eV per atom

Unit cell a=7.432 b=7.432 c=7.432 alpha=113.88 beta=113.88 gamma=100.97
Sites, in units of the cell vectors:
In (0.092, 0.625, 0.967)
In (0.375, 0.342, 0.467)
In (0.658, 0.125, 0.033)
In (0.875, 0.908, 0.533)
Sb (0.000, 0.000, 0.000)
Sb (0.750, 0.250, 0.500)
I (0.250, 0.750, 0.500)
I (0.500, 0.500, 0.000)


# 3
The following is a DFT calculation (PBE) of a geometry-optimized Ba2CaGa6 structure.

**SG**: Immm (71)

Unit cell a=8.625 b=8.625 c=8.625 alpha=155.95 beta=106.34 gamma=78.78
Sites, in units of the cell vectors:
Ba (0.130, 0.130, 0.000)
Ba (0.870, 0.870, 0.000)
Ca (0.500, 0.000, 0.500)
Ga (0.126, 0.319, 0.807)
Ga (0.228, 0.500, 0.728)
Ga (0.488, 0.681, 0.807)
Ga (0.512, 0.319, 0.193)
Ga (0.772, 0.500, 0.272)
Ga (0.874, 0.681, 0.193)


# 4
The following is a DFT calculation (PBE) of a geometry-optimized ThZnGa2Co5 structure.

**SG**: P4/mmm (123)

Unit cell a=4.295 b=4.295 c=7.337 alpha=90.00 beta=90.00 gamma=90.00
Sites, in units of the cell vectors:
Th (0.000, 0.000, 0.000)
Zn (0.000, 0.000, 0.500)
Ga (0.500, 0.500, 0.337)
Ga (0.500, 0.500, 0.663)
Co (0.000, 0.500, 0.245)
Co (0.000, 0.500, 0.755)
Co (0.500, 0.000, 0.245)
Co (0.500, 0.000, 0.755)
Co (0.500, 0.500, 0.000)


# 5
The following is a DFT calculation (PBE) of a geometry-optimized K2ZrMo structure.

**SG**: P4mm (99)
**Energy above the lowest structure with this stoichiometry**: 0 meV/atom

Unit cell a=3.587 b=3.587 c=10.775 alpha=90.00 beta=90.00 gamma=90.00
Sites, in units of the cell vectors:
K (0.000, 0.000, 0.000)
K (0.500, 0.500, 0.385)
Zr (0.500, 0.500, 0.725)
Mo (0.000, 0.000, 0.633)


# 6
The following is a DFT calculation (PBE) of a geometry-optimized Y2AlRe structure.

**SG**: R3m (160)

Unit cell a=9.612 b=9.612 c=9.612 alpha=20.39 beta=20.39 gamma=20.39
Sites, in units of the cell vectors:
Y (0.000, 0.000, 0.000)
Y (0.217, 0.217, 0.217)
Al (0.750, 0.750, 0.750)
Re (0.475, 0.475, 0.475)


Calculated total magnetic moment in order - 0.00; 0.00; 0.00; 1.22; 0.00; 0.00 μB per formula unit
Calculated E in order - -21.6; -22.2; -25.9; -48.7; -18.8; -28.1 eV/cell